Entry P
A plane-wave DFT calculation with SCAN was carried out for a PBEsol-optimized structure of KTlCr2.

POSCAR file:
```
KTlCr2
1.0
0.000 3.631 3.631
3.631 0.000 3.631
3.631 3.631 0.000
K Tl Cr
1 1 2
Cartesian
0.000 0.000 0.000 K
5.447 5.447 5.447 Tl
1.816 1.816 1.816 Cr
3.631 3.631 3.631 Cr
```

Properties
- SG = F-43m, No. 216

=====

Entry Q
A plane-wave DFT calculation with SCAN was carried out for a PBEsol-optimized structure of KTlCr2.

POSCAR file:
```
KTlCr2
1.0
4.674 -1.625 0.000
4.674 1.625 0.000
-0.860 0.000 7.032
K Tl Cr
1 1 2
Cartesian
0.000 0.000 0.000 K
4.244 0.000 3.516 Tl
1.600 0.000 4.659 Cr
6.887 0.000 2.374 Cr
```

Properties
- SG = C2/m, No. 12

=====

Which of them is the least stable? Correct choice: entry P.